1.
Here is a relaxed TmB2Rh7 crystal from the Alexandria database. Energies are from PBE.

Magnetic moment: 0.004 μB per cell
Energy relative to the elements: -0.11 eV per atom
Final energy: -70.377 eV/cell

Cell and atoms, written as CIF:
```
data_TmB2Rh7
_cell_length_a 4.118
_cell_length_b 6.325
_cell_length_c 6.325
_cell_angle_alpha 113.00
_cell_angle_beta 90.00
_cell_angle_gamma 90.00
_symmetry_space_group_name_H-M 'P 1'
_symmetry_Int_Tables_number 1
_symmetry_space_group_name_Hall 'P 1'
loop_
_atom_site_label
_atom_site_type_symbol
_atom_site_fract_x
_atom_site_fract_y
_atom_site_fract_z
Rh1 Rh 0.000 0.704 0.296
Rh2 Rh 0.500 0.500 0.500
Rh3 Rh 0.500 0.056 0.325
Rh4 Rh 0.500 0.944 0.675
Rh5 Rh 0.500 0.675 0.944
Rh6 Rh 0.500 0.325 0.056
Rh7 Rh 0.000 0.296 0.704
Tm1 Tm 0.000 0.000 0.000
B1 B 0.500 0.297 0.703
B2 B 0.500 0.703 0.297
```


2.
Here is a relaxed NpZn2Cd crystal from the Alexandria database. Energies are from PBE.

Magnetic moment: 4.184 μB per cell
Energy relative to the elements: 0.12 eV per atom
Final energy: -15.923 eV/cell

Cell and atoms, written as CIF:
```
data_NpZn2Cd
_cell_length_a 2.996
_cell_length_b 2.996
_cell_length_c 8.594
_cell_angle_alpha 90.00
_cell_angle_beta 90.00
_cell_angle_gamma 90.00
_symmetry_space_group_name_H-M 'P 1'
_symmetry_Int_Tables_number 1
_symmetry_space_group_name_Hall 'P 1'
loop_
_atom_site_label
_atom_site_type_symbol
_atom_site_fract_x
_atom_site_fract_y
_atom_site_fract_z
Zn1 Zn 0.000 0.000 0.237
Zn2 Zn 0.000 0.000 0.763
Cd1 Cd 0.500 0.500 0.000
Np1 Np 0.500 0.500 0.500
```


3.
Here is a relaxed TiPdF3 crystal from the Alexandria database. Energies are from PBE.

ΔE_f (raw): -0.684 eV/atom
Magnetic moment: 0.000 μB per cell
Final energy: -22.121 eV/cell

Cell and atoms, written as CIF:
```
data_TiPdF3
_cell_length_a 4.283
_cell_length_b 4.283
_cell_length_c 4.283
_cell_angle_alpha 90.00
_cell_angle_beta 90.00
_cell_angle_gamma 90.00
_symmetry_space_group_name_H-M 'P 1'
_symmetry_Int_Tables_number 1
_symmetry_space_group_name_Hall 'P 1'
loop_
_atom_site_label
_atom_site_type_symbol
_atom_site_fract_x
_atom_site_fract_y
_atom_site_fract_z
F1 F 0.000 0.000 0.500
F2 F 0.000 0.500 0.000
F3 F 0.500 0.000 0.000
Ti1 Ti 0.500 0.500 0.500
Pd1 Pd 0.000 0.000 0.000
```


4.
Here is a relaxed ZnAsRuRh crystal from the Alexandria database. Energies are from PBE.

Magnetic moment: 0.000 μB per cell
Energy relative to the elements: -0.22 eV per atom
Final energy: -23.434 eV/cell

Cell and atoms, written as CIF:
```
data_ZnAsRuRh
_cell_length_a 4.299
_cell_length_b 4.299
_cell_length_c 4.299
_cell_angle_alpha 60.00
_cell_angle_beta 60.00
_cell_angle_gamma 60.00
_symmetry_space_group_name_H-M 'P 1'
_symmetry_Int_Tables_number 1
_symmetry_space_group_name_Hall 'P 1'
loop_
_atom_site_label
_atom_site_type_symbol
_atom_site_fract_x
_atom_site_fract_y
_atom_site_fract_z
As1 As 0.500 0.500 0.500
Rh1 Rh 0.250 0.250 0.250
Zn1 Zn 0.000 0.000 0.000
Ru1 Ru 0.750 0.750 0.750
```


5.
Here is a relaxed Pm2Tl2Pd15 crystal from the Alexandria database. Energies are from PBE.

Magnetic moment: 0.000 μB per cell
Energy relative to the elements: -0.33 eV per atom
Final energy: -98.373 eV/cell

Cell and atoms, written as CIF:
```
data_Pm2Tl2Pd15
_cell_length_a 7.084
_cell_length_b 7.084
_cell_length_c 7.084
_cell_angle_alpha 81.90
_cell_angle_beta 81.90
_cell_angle_gamma 81.90
_symmetry_space_group_name_H-M 'P 1'
_symmetry_Int_Tables_number 1
_symmetry_space_group_name_Hall 'P 1'
loop_
_atom_site_label
_atom_site_type_symbol
_atom_site_fract_x
_atom_site_fract_y
_atom_site_fract_z
Pd1 Pd 0.500 0.000 0.000
Pd2 Pd 0.000 0.313 0.687
Pd3 Pd 0.687 0.313 0.000
Pd4 Pd 0.313 0.000 0.687
Pd5 Pd 0.837 0.348 0.348
Pd6 Pd 0.000 0.000 0.500
Pd7 Pd 0.313 0.687 0.000
Pd8 Pd 0.652 0.652 0.163
Pd9 Pd 0.000 0.500 0.000
Pd10 Pd 0.348 0.837 0.348
Pd11 Pd 0.000 0.687 0.313
Pd12 Pd 0.348 0.348 0.837
Pd13 Pd 0.652 0.163 0.652
Pd14 Pd 0.163 0.652 0.652
Pd15 Pd 0.687 0.000 0.313
Pm1 Pm 0.355 0.355 0.355
Pm2 Pm 0.645 0.645 0.645
Tl1 Tl 0.894 0.894 0.894
Tl2 Tl 0.106 0.106 0.106
```


6.
Here is a relaxed BaTi2Sb2 crystal from the Alexandria database. Energies are from PBE.

ΔE_f (raw): -0.209 eV/atom
Magnetic moment: 2.620 μB per cell
Final energy: -54.004 eV/cell

Cell and atoms, written as CIF:
```
data_BaTi2Sb2
_cell_length_a 8.644
_cell_length_b 8.644
_cell_length_c 3.318
_cell_angle_alpha 90.00
_cell_angle_beta 90.00
_cell_angle_gamma 90.00
_symmetry_space_group_name_H-M 'P 1'
_symmetry_Int_Tables_number 1
_symmetry_space_group_name_Hall 'P 1'
loop_
_atom_site_label
_atom_site_type_symbol
_atom_site_fract_x
_atom_site_fract_y
_atom_site_fract_z
Ba1 Ba 0.000 0.000 0.000
Ba2 Ba 0.500 0.500 0.000
Ti1 Ti 0.630 0.870 0.500
Ti2 Ti 0.130 0.630 0.500
Ti3 Ti 0.370 0.130 0.500
Ti4 Ti 0.870 0.370 0.500
Sb1 Sb 0.148 0.352 0.000
Sb2 Sb 0.648 0.148 0.000
Sb3 Sb 0.352 0.852 0.000
Sb4 Sb 0.852 0.648 0.000
```


> Which value of magnetic moment does entry 3 give?

0.000 μB per cell


> magnetic moment of number 2 (NpZn2Cd)?

4.184 μB per cell


What did the first record say?
Here is a relaxed TmB2Rh7 crystal from the Alexandria database. Energies are from PBE.

Magnetic moment: 0.004 μB per cell
Energy relative to the elements: -0.11 eV per atom
Final energy: -70.377 eV/cell

Cell and atoms, written as CIF:
```
data_TmB2Rh7
_cell_length_a 4.118
_cell_length_b 6.325
_cell_length_c 6.325
_cell_angle_alpha 113.00
_cell_angle_beta 90.00
_cell_angle_gamma 90.00
_symmetry_space_group_name_H-M 'P 1'
_symmetry_Int_Tables_number 1
_symmetry_space_group_name_Hall 'P 1'
loop_
_atom_site_label
_atom_site_type_symbol
_atom_site_fract_x
_atom_site_fract_y
_atom_site_fract_z
Rh1 Rh 0.000 0.704 0.296
Rh2 Rh 0.500 0.500 0.500
Rh3 Rh 0.500 0.056 0.325
Rh4 Rh 0.500 0.944 0.675
Rh5 Rh 0.500 0.675 0.944
Rh6 Rh 0.500 0.325 0.056
Rh7 Rh 0.000 0.296 0.704
Tm1 Tm 0.000 0.000 0.000
B1 B 0.500 0.297 0.703
B2 B 0.500 0.703 0.297
```